VASP calculation (PBE) on crystalline La2TePRh6 at its relaxed geometry.

As for the crystal system: orthorhombic. Its total energy is -6.9534 eV per atom. As for the formation energy (no corrections): -0.702 eV per atom. The calculation puts the total magnetization at 0.000 μB per cell.

a = 5.641 Å, b = 8.694 Å, c = 8.078 Å
α = 90.00°, β = 90.00°, γ = 90.00°
Space group Pmmn (No. 59, origin choice 2)
Asymmetric unit:
La 0.250 0.000 0.225
Te 0.250 0.250 0.776
P 0.250 0.750 0.734
Rh 0.004 0.750 0.960
Rh 0.007 0.250 0.487
Rh 0.250 0.502 0.602